[1]
The following is a PBE calculation of a relaxed Mg6CdCo crystal, from Alexandria.

Cell: 6.1277 6.1277 4.8713 Å, 90.00 90.00 119.65°
Closest atoms and distances in Å follow each position.
Sites, in units of the cell vectors:
Mg: 0.6652 0.3348 0.0000  10 Mg 3.03-3.07, 2 Co 3.08
Cd: 0.3310 0.6690 0.5000  10 Mg 2.91-3.21, 2 Co 3.08
Mg: 0.8572 0.6728 0.5000  7 Mg 2.90-3.09, 2 Co 2.90, 2 Cd 2.91-3.21
Mg: 0.6653 0.8335 0.0000  2 Co 2.95-3.18, 8 Mg 3.01-3.09, 2 Cd 3.02
Mg: 0.8350 0.1650 0.5000  10 Mg 3.01-3.09, 2 Cd 3.08
Mg: 0.1665 0.3347 0.0000  2 Co 2.95-3.18, 8 Mg 3.01-3.09, 2 Cd 3.02
Co: 0.1526 0.8474 0.0000  10 Mg 2.90-3.18, 2 Cd 3.08
Mg: 0.3272 0.1428 0.5000  7 Mg 2.90-3.09, 2 Co 2.90, 2 Cd 2.91-3.21

Properties
- calculated density (kg/m3) = 3313
- total DFT energy (no corrections) (eV per atom) = -2.120
- formation enthalpy at 0 K (eV per atom) = 0.079
- space group = Amm2


[2]
The following is a PBE calculation of a relaxed Mg2CdCoN crystal, from Alexandria.

Cell: 4.4660 4.4660 3.6691 Å, 90.00 90.00 90.00°
Closest atoms and distances in Å follow each position.
Sites, in units of the cell vectors:
Cd: 0.5000 0.5000 0.5000  8 Mg 2.89, 4 Co 3.16
Mg: 0.0000 0.5000 0.0000  2 N 2.23
Mg: 0.5000 0.0000 0.0000  2 N 2.23
N: 0.0000 0.0000 0.0000  2 Co 1.83
Co: 0.0000 0.0000 0.5000  2 N 1.83

Properties
- calculated density (kg/m3) = 5309
- energy relative to the elements, uncorrected (eV/atom) = -0.188
- total DFT energy (no corrections) (eV per atom) = -4.095
- space group = P4/mmm


> What is the total DFT energy (no corrections) in the second record?

-4.095 eV per atom


Please write out number 1 again, unchanged.
The following is a PBE calculation of a relaxed Mg6CdCo crystal, from Alexandria.

Cell: 6.1277 6.1277 4.8713 Å, 90.00 90.00 119.65°
Closest atoms and distances in Å follow each position.
Sites, in units of the cell vectors:
Mg: 0.6652 0.3348 0.0000  10 Mg 3.03-3.07, 2 Co 3.08
Cd: 0.3310 0.6690 0.5000  10 Mg 2.91-3.21, 2 Co 3.08
Mg: 0.8572 0.6728 0.5000  7 Mg 2.90-3.09, 2 Co 2.90, 2 Cd 2.91-3.21
Mg: 0.6653 0.8335 0.0000  2 Co 2.95-3.18, 8 Mg 3.01-3.09, 2 Cd 3.02
Mg: 0.8350 0.1650 0.5000  10 Mg 3.01-3.09, 2 Cd 3.08
Mg: 0.1665 0.3347 0.0000  2 Co 2.95-3.18, 8 Mg 3.01-3.09, 2 Cd 3.02
Co: 0.1526 0.8474 0.0000  10 Mg 2.90-3.18, 2 Cd 3.08
Mg: 0.3272 0.1428 0.5000  7 Mg 2.90-3.09, 2 Co 2.90, 2 Cd 2.91-3.21

Properties
- calculated density (kg/m3) = 3313
- total DFT energy (no corrections) (eV per atom) = -2.120
- formation enthalpy at 0 K (eV per atom) = 0.079
- space group = Amm2


> Number 1 is which compound?

Mg6CdCo


> Which of these has the lowest total DFT energy (no corrections)?

Mg2CdCoN